1.
Here is an optimized crystal structure of Ni2AgOsBr from Alexandria. Energies are from GGA-PBE.

Properties
Formation energy without anion corrections, eV/atom: 1.31
SG: P4/mmm
E, eV per atom: -4.152

a = 4.504 Å, b = 4.504 Å, c = 5.342 Å
α = 90.00°, β = 90.00°, γ = 90.00°
Fractional coordinates of all 5 atoms:
Ni1 0.000 0.500 0.000
Ni2 0.500 0.000 0.000
Ag1 0.000 0.000 0.500
Os1 0.000 0.000 0.000
Br1 0.500 0.500 0.500

***

2.
Here is an optimized crystal structure of Pm6Ni2AgBr3 from Alexandria. Energies are from GGA-PBE.

Properties
Formation energy without anion corrections, eV/atom: -0.74
SG: C2/m
E, eV per atom: -4.732

a = 9.885 Å, b = 9.885 Å, c = 9.071 Å
α = 108.92°, β = 108.92°, γ = 23.88°
Fractional coordinates of all 12 atoms:
Pm1 0.019 0.019 0.253
Pm2 0.319 0.319 0.444
Pm3 0.337 0.337 0.875
Pm4 0.663 0.663 0.125
Pm5 0.681 0.681 0.556
Pm6 0.981 0.981 0.747
Ni1 0.167 0.167 0.338
Ni2 0.833 0.833 0.662
Ag1 0.500 0.500 0.000
Br1 0.165 0.165 0.834
Br2 0.500 0.500 0.500
Br3 0.835 0.835 0.166

***

3.
Here is an optimized crystal structure of Pr6Ni2AgBr3 from Alexandria. Energies are from GGA-PBE.

Properties
Formation energy without anion corrections, eV/atom: -0.73
SG: C2/m
E, eV per atom: -4.739

a = 9.991 Å, b = 9.991 Å, c = 9.178 Å
α = 108.86°, β = 108.86°, γ = 24.12°
Fractional coordinates of all 12 atoms:
Pr1 0.019 0.019 0.253
Pr2 0.319 0.319 0.444
Pr3 0.337 0.337 0.878
Pr4 0.663 0.663 0.122
Pr5 0.681 0.681 0.556
Pr6 0.981 0.981 0.747
Ni1 0.167 0.167 0.336
Ni2 0.833 0.833 0.664
Ag1 0.500 0.500 0.000
Br1 0.165 0.165 0.833
Br2 0.500 0.500 0.500
Br3 0.835 0.835 0.167

***

4.
Here is an optimized crystal structure of Rb3Ni2AgBr9 from Alexandria. Energies are from GGA-PBE.

Properties
Formation energy without anion corrections, eV/atom: -0.86
SG: P-3m1
E, eV per atom: -3.015

a = 7.392 Å, b = 7.392 Å, c = 9.091 Å
α = 90.00°, β = 90.00°, γ = 120.00°
Fractional coordinates of all 15 atoms:
Rb1 0.000 0.000 0.000
Rb2 0.333 0.667 0.666
Rb3 0.667 0.333 0.334
Ni1 0.333 0.667 0.161
Ni2 0.667 0.333 0.839
Ag1 0.000 0.000 0.500
Br1 0.000 0.500 0.000
Br2 0.175 0.349 0.318
Br3 0.175 0.825 0.318
Br4 0.349 0.175 0.682
Br5 0.500 0.000 0.000
Br6 0.500 0.500 0.000
Br7 0.651 0.825 0.318
Br8 0.825 0.175 0.682
Br9 0.825 0.651 0.682

***

5.
Here is an optimized crystal structure of Rb3NiAg2Br6 from Alexandria. Energies are from GGA-PBE.

Properties
Formation energy without anion corrections, eV/atom: -0.84
SG: P-3m1
E, eV per atom: -2.874

a = 8.044 Å, b = 8.044 Å, c = 8.606 Å
α = 90.00°, β = 90.00°, γ = 120.00°
Fractional coordinates of all 12 atoms:
Rb1 0.000 0.000 0.000
Rb2 0.333 0.667 0.639
Rb3 0.667 0.333 0.361
Ni1 0.000 0.000 0.500
Ag1 0.333 0.667 0.233
Ag2 0.667 0.333 0.767
Br1 0.151 0.302 0.314
Br2 0.151 0.849 0.314
Br3 0.302 0.151 0.686
Br4 0.698 0.849 0.314
Br5 0.849 0.151 0.686
Br6 0.849 0.698 0.686

***

6.
Here is an optimized crystal structure of Rb3Ni2AgBr8 from Alexandria. Energies are from GGA-PBE.

Properties
Formation energy without anion corrections, eV/atom: -0.89
SG: P-3m1
E, eV per atom: -3.081

a = 7.593 Å, b = 7.593 Å, c = 9.735 Å
α = 90.00°, β = 90.00°, γ = 120.00°
Fractional coordinates of all 14 atoms:
Rb1 0.000 0.000 0.000
Rb2 0.333 0.667 0.624
Rb3 0.667 0.333 0.376
Ni1 0.333 0.667 0.211
Ni2 0.667 0.333 0.789
Ag1 0.000 0.000 0.500
Br1 0.167 0.335 0.314
Br2 0.167 0.833 0.314
Br3 0.333 0.667 0.973
Br4 0.335 0.167 0.686
Br5 0.665 0.833 0.314
Br6 0.667 0.333 0.027
Br7 0.833 0.167 0.686
Br8 0.833 0.665 0.686

***

7.
Here is an optimized crystal structure of Rb3NiAg2Br9 from Alexandria. Energies are from GGA-PBE.

Properties
Formation energy without anion corrections, eV/atom: -0.87
SG: P-3m1
E, eV per atom: -2.837

a = 7.588 Å, b = 7.588 Å, c = 9.202 Å
α = 90.00°, β = 90.00°, γ = 120.00°
Fractional coordinates of all 15 atoms:
Rb1 0.000 0.000 0.000
Rb2 0.333 0.667 0.674
Rb3 0.667 0.333 0.326
Ni1 0.000 0.000 0.500
Ag1 0.333 0.667 0.176
Ag2 0.667 0.333 0.824
Br1 0.000 0.500 0.000
Br2 0.156 0.311 0.345
Br3 0.156 0.844 0.345
Br4 0.311 0.156 0.655
Br5 0.500 0.000 0.000
Br6 0.500 0.500 0.000
Br7 0.689 0.844 0.345
Br8 0.844 0.156 0.655
Br9 0.844 0.689 0.655

***

8.
Here is an optimized crystal structure of Sc2NiAgBr from Alexandria. Energies are from GGA-PBE.

Properties
Formation energy without anion corrections, eV/atom: 0.87
SG: P4/mmm
E, eV per atom: -3.724

a = 5.249 Å, b = 5.249 Å, c = 5.043 Å
α = 90.00°, β = 90.00°, γ = 90.00°
Fractional coordinates of all 5 atoms:
Sc1 0.000 0.500 0.000
Sc2 0.500 0.000 0.000
Ni1 0.000 0.000 0.500
Ag1 0.500 0.500 0.000
Br1 0.500 0.500 0.500

***

9.
Here is an optimized crystal structure of NiAgSeBr2 from Alexandria. Energies are from GGA-PBE.

Properties
Formation energy without anion corrections, eV/atom: 0.16
SG: P4/mmm
Polymorph energy (0 for the lowest one), meV per atom: 0
E, eV per atom: -2.935

a = 5.108 Å, b = 5.108 Å, c = 4.608 Å
α = 90.00°, β = 90.00°, γ = 90.00°
Fractional coordinates of all 5 atoms:
Ni1 0.000 0.000 0.000
Ag1 0.500 0.500 0.500
Se1 0.000 0.000 0.500
Br1 0.000 0.500 0.000
Br2 0.500 0.000 0.000

***

10.
Here is an optimized crystal structure of NiAgSeBr2 from Alexandria. Energies are from GGA-PBE.

Properties
Formation energy without anion corrections, eV/atom: 0.74
SG: P4/mmm
Polymorph energy (0 for the lowest one), meV per atom: 585
E, eV per atom: -2.350

a = 5.182 Å, b = 5.182 Å, c = 5.273 Å
α = 90.00°, β = 90.00°, γ = 90.00°
Fractional coordinates of all 5 atoms:
Ni1 0.000 0.000 0.000
Ag1 0.500 0.500 0.500
Se1 0.500 0.500 0.000
Br1 0.000 0.500 0.500
Br2 0.500 0.000 0.500

***

11.
Here is an optimized crystal structure of SiNi2AgBr from Alexandria. Energies are from GGA-PBE.

Properties
Formation energy without anion corrections, eV/atom: 1.07
SG: P4/mmm
E, eV per atom: -3.235

a = 4.364 Å, b = 4.364 Å, c = 5.314 Å
α = 90.00°, β = 90.00°, γ = 90.00°
Fractional coordinates of all 5 atoms:
Si1 0.000 0.000 0.000
Ni1 0.000 0.500 0.500
Ni2 0.500 0.000 0.500
Ag1 0.500 0.500 0.000
Br1 0.500 0.500 0.500

***

12.
Here is an optimized crystal structure of Tl2NiAgBr6 from Alexandria. Energies are from GGA-PBE.

Properties
Formation energy without anion corrections, eV/atom: -0.50
SG: P2_1/c
E, eV per atom: -2.842

a = 7.315 Å, b = 7.453 Å, c = 12.839 Å
α = 90.00°, β = 124.39°, γ = 90.00°
Fractional coordinates of all 20 atoms:
Tl1 0.238 0.052 0.251
Tl2 0.238 0.448 0.751
Tl3 0.762 0.552 0.249
Tl4 0.762 0.948 0.749
Ni1 0.500 0.000 0.000
Ni2 0.500 0.500 0.500
Ag1 0.000 0.000 0.500
Ag2 0.000 0.500 0.000
Br1 0.204 0.199 0.974
Br2 0.204 0.301 0.474
Br3 0.274 0.723 0.978
Br4 0.274 0.777 0.478
Br5 0.317 0.505 0.268
Br6 0.317 0.995 0.768
Br7 0.683 0.005 0.232
Br8 0.683 0.495 0.732
Br9 0.726 0.223 0.522
Br10 0.726 0.277 0.022
Br11 0.796 0.699 0.526
Br12 0.796 0.801 0.026

***

13.
Here is an optimized crystal structure of TlNi2AgBr from Alexandria. Energies are from GGA-PBE.

Properties
Formation energy without anion corrections, eV/atom: 0.89
SG: P4/mmm
E, eV per atom: -2.800

a = 4.860 Å, b = 4.860 Å, c = 5.614 Å
α = 90.00°, β = 90.00°, γ = 90.00°
Fractional coordinates of all 5 atoms:
Tl1 0.000 0.000 0.000
Ni1 0.000 0.500 0.500
Ni2 0.500 0.000 0.500
Ag1 0.000 0.000 0.500
Br1 0.500 0.500 0.000

***

14.
Here is an optimized crystal structure of NpAgBr2 from Alexandria. Energies are from GGA-PBE.

Properties
Formation energy without anion corrections, eV/atom: -0.12
SG: R-3m
E, eV per atom: -4.902

a = 9.692 Å, b = 9.692 Å, c = 9.692 Å
α = 22.23°, β = 22.23°, γ = 22.23°
Fractional coordinates of all 4 atoms:
Np1 0.000 0.000 0.000
Ag1 0.500 0.500 0.500
Br1 0.100 0.100 0.100
Br2 0.900 0.900 0.900

***

15.
Here is an optimized crystal structure of NpAg2Br6 from Alexandria. Energies are from GGA-PBE.

Properties
Formation energy without anion corrections, eV/atom: -0.82
SG: R-3
Polymorph energy (0 for the lowest one), meV per atom: 0
E, eV per atom: -4.011

a = 7.764 Å, b = 7.764 Å, c = 7.764 Å
α = 55.09°, β = 55.09°, γ = 55.09°
Fractional coordinates of all 9 atoms:
Np1 0.000 0.000 0.000
Ag1 0.181 0.181 0.181
Ag2 0.819 0.819 0.819
Br1 0.092 0.393 0.766
Br2 0.234 0.908 0.607
Br3 0.393 0.766 0.092
Br4 0.607 0.234 0.908
Br5 0.766 0.092 0.393
Br6 0.908 0.607 0.234

***

16.
Here is an optimized crystal structure of Np2AgBr11 from Alexandria. Energies are from GGA-PBE.

Properties
Formation energy without anion corrections, eV/atom: -0.93
SG: Ibam
E, eV per atom: -4.293

a = 12.316 Å, b = 12.316 Å, c = 12.316 Å
α = 128.19°, β = 95.11°, γ = 107.02°
Fractional coordinates of all 28 atoms:
Np1 0.081 0.232 0.313
Np2 0.419 0.732 0.151
Np3 0.581 0.268 0.849
Np4 0.919 0.768 0.687
Ag1 0.250 0.750 0.500
Ag2 0.750 0.250 0.500
Br1 0.000 0.000 0.000
Br2 0.046 0.017 0.323
Br3 0.100 0.439 0.284
Br4 0.155 0.816 0.716
Br5 0.157 0.447 0.603
Br6 0.194 0.517 0.971
Br7 0.306 0.277 0.323
Br8 0.343 0.947 0.290
Br9 0.345 0.061 0.661
Br10 0.400 0.684 0.339
Br11 0.454 0.777 0.971
Br12 0.500 0.500 0.000
Br13 0.546 0.223 0.029
Br14 0.600 0.316 0.661
Br15 0.655 0.939 0.339
Br16 0.657 0.053 0.710
Br17 0.694 0.723 0.677
Br18 0.806 0.483 0.029
Br19 0.843 0.553 0.397
Br20 0.845 0.184 0.284
Br21 0.900 0.561 0.716
Br22 0.954 0.983 0.677

***

17.
Here is an optimized crystal structure of NpAg2Br6 from Alexandria. Energies are from GGA-PBE.

Properties
Formation energy without anion corrections, eV/atom: -0.79
SG: C2/c
Polymorph energy (0 for the lowest one), meV per atom: 39
E, eV per atom: -3.972

a = 10.079 Å, b = 10.079 Å, c = 7.227 Å
α = 93.22°, β = 93.22°, γ = 91.57°
Fractional coordinates of all 18 atoms:
Np1 0.080 0.920 0.750
Np2 0.920 0.080 0.250
Ag1 0.394 0.397 0.188
Ag2 0.397 0.394 0.688
Ag3 0.603 0.606 0.312
Ag4 0.606 0.603 0.812
Br1 0.045 0.173 0.595
Br2 0.083 0.675 0.866
Br3 0.173 0.045 0.095
Br4 0.266 0.506 0.439
Br5 0.325 0.917 0.634
Br6 0.494 0.734 0.061
Br7 0.506 0.266 0.939
Br8 0.675 0.083 0.366
Br9 0.734 0.494 0.561
Br10 0.827 0.955 0.905
Br11 0.917 0.325 0.134
Br12 0.955 0.827 0.405

***

18.
Here is an optimized crystal structure of NpAgBr6 from Alexandria. Energies are from GGA-PBE.

Properties
Formation energy without anion corrections, eV/atom: -0.88
SG: R-3
Polymorph energy (0 for the lowest one), meV per atom: 12
E, eV per atom: -4.105

a = 7.552 Å, b = 7.552 Å, c = 7.552 Å
α = 55.38°, β = 55.38°, γ = 55.38°
Fractional coordinates of all 8 atoms:
Np1 0.000 0.000 0.000
Ag1 0.500 0.500 0.500
Br1 0.090 0.763 0.392
Br2 0.237 0.608 0.910
Br3 0.392 0.090 0.763
Br4 0.608 0.910 0.237
Br5 0.763 0.392 0.090
Br6 0.910 0.237 0.608

***

19.
Here is an optimized crystal structure of NpAg2Br8 from Alexandria. Energies are from GGA-PBE.

Properties
Formation energy without anion corrections, eV/atom: -0.63
SG: C2/m
E, eV per atom: -3.544

a = 8.117 Å, b = 8.117 Å, c = 7.205 Å
α = 92.93°, β = 92.93°, γ = 60.64°
Fractional coordinates of all 11 atoms:
Np1 0.000 0.000 0.000
Ag1 0.206 0.206 0.733
Ag2 0.794 0.794 0.267
Br1 0.126 0.126 0.288
Br2 0.144 0.659 0.159
Br3 0.341 0.856 0.841
Br4 0.366 0.366 0.605
Br5 0.634 0.634 0.395
Br6 0.659 0.144 0.159
Br7 0.856 0.341 0.841
Br8 0.874 0.874 0.712

***

20.
Here is an optimized crystal structure of NpAgBr6 from Alexandria. Energies are from GGA-PBE.

Properties
Formation energy without anion corrections, eV/atom: -0.89
SG: C2/m
Polymorph energy (0 for the lowest one), meV per atom: 0
E, eV per atom: -4.116

a = 7.361 Å, b = 7.361 Å, c = 7.047 Å
α = 101.24°, β = 101.24°, γ = 122.64°
Fractional coordinates of all 8 atoms:
Np1 0.000 0.000 0.000
Ag1 0.500 0.500 0.500
Br1 0.093 0.398 0.247
Br2 0.225 0.225 0.776
Br3 0.398 0.093 0.247
Br4 0.602 0.907 0.753
Br5 0.775 0.775 0.224
Br6 0.907 0.602 0.753

***

21.
Here is an optimized crystal structure of NpAg3Br6 from Alexandria. Energies are from GGA-PBE.

Properties
Formation energy without anion corrections, eV/atom: -0.67
SG: P-1
E, eV per atom: -3.827

a = 7.429 Å, b = 7.657 Å, c = 7.855 Å
α = 64.65°, β = 63.76°, γ = 61.20°
Fractional coordinates of all 10 atoms:
Np1 0.000 0.000 0.000
Ag1 0.500 0.000 0.000
Ag2 0.500 0.000 0.500
Ag3 0.500 0.500 0.500
Br1 0.173 0.323 0.761
Br2 0.206 0.875 0.296
Br3 0.386 0.712 0.791
Br4 0.614 0.288 0.209
Br5 0.794 0.125 0.704
Br6 0.827 0.677 0.239